Entry from Alexandria via LeMat-Bulk: TlFe2As after structural relaxation (GGA-PBE).

```
TlFe2As
1.0
3.102 0.000 0.000
0.000 3.102 0.000
0.000 0.000 6.863
Tl Fe As
1 2 1
Direct
0.000 0.000 0.000
0.500 0.500 0.319
0.500 0.500 0.681
0.000 0.000 0.500
```

Computed properties:
SG: P4/mmm
Relative energy among the computed polymorphs (eV per formula unit): 0.59
Calculated total energy (eV/atom): -5.6417
Energy relative to the elements (eV/atom): 0.344
Spin magnetization (μB per formula unit): 4.5

---

Entry from Alexandria via LeMat-Bulk: RbTcSbTe2 after structural relaxation (GGA-PBE).

```
RbTcSbTe2
1.0
6.117 0.000 0.000
0.000 6.117 0.000
0.000 0.000 5.925
Rb Tc Sb Te
1 1 1 2
Direct
0.000 0.000 0.000
0.500 0.500 0.500
0.000 0.000 0.500
0.000 0.500 0.000
0.500 0.000 0.000
```

Computed properties:
SG: P4/mmm
Relative energy among the computed polymorphs (eV per formula unit): 9.11
Calculated total energy (eV/atom): -2.4701
E_form (uncorrected) (meV/atom): 1878
Spin magnetization (μB per formula unit): 4.4